[1]
SrPrTlIn: relaxed, PBE-GGA.

Unit cell a=5.654 b=5.654 c=5.654 alpha=60.00 beta=60.00 gamma=60.00
Fractional coordinates of all 4 atoms:
Pr1 0.750 0.750 0.750
Tl1 0.000 0.000 0.000
In1 0.500 0.500 0.500
Sr1 0.250 0.250 0.250

Its symmetry is F-43m (216). The distance to the lowest polymorph of the same formula comes out at 0.041 eV per atom. The calculation puts the formation energy at -0.388 eV/atom. As for the density of states at the Fermi level: 0.88 states/eV per atom.

=====

[2]
Li2ReF6: relaxed, PBE-GGA.

Unit cell a=4.757 b=4.757 c=9.341 alpha=90.00 beta=90.00 gamma=90.00
Fractional coordinates of all 18 atoms:
F1 0.806 0.194 0.339
Re1 0.000 0.000 0.500
Li1 0.500 0.500 0.662
Li2 0.000 0.000 0.162
Li3 0.000 0.000 0.838
F2 0.796 0.204 0.000
F3 0.296 0.296 0.500
F4 0.704 0.704 0.500
F5 0.306 0.306 0.161
F6 0.194 0.806 0.339
Re2 0.500 0.500 0.000
F7 0.204 0.796 0.000
F8 0.694 0.694 0.839
Li4 0.500 0.500 0.338
F9 0.194 0.806 0.661
F10 0.806 0.194 0.661
F11 0.306 0.306 0.839
F12 0.694 0.694 0.161

For the calculated total energy, the calculation gives -5.54 eV per atom. Its symmetry is P4_2/mnm (136). As for the density of states at the Fermi level: 0.00 states/eV per atom.

=====

[3]
MnBe2Zn: relaxed, PBE-GGA.

Unit cell a=2.625 b=2.626 c=6.106 alpha=90.00 beta=90.00 gamma=90.00
Fractional coordinates of all 4 atoms:
Be1 0.500 0.500 0.228
Be2 0.000 0.000 0.038
Mn1 0.000 0.000 0.461
Zn1 0.500 0.500 0.773

Its symmetry is P4mm (99). The calculation puts the formation energy at 0.044 eV/atom. As for the density of states at the Fermi level: 0.36 states/eV per atom.

=====

[4]
TbMgRh: relaxed, PBE-GGA.

Unit cell a=3.333 b=3.333 c=6.220 alpha=105.54 beta=105.54 gamma=90.00
Fractional coordinates of all 3 atoms:
Tb1 0.923 0.923 0.846
Rh1 0.279 0.279 0.557
Mg1 0.649 0.649 0.297

Its symmetry is I4mm (107). The calculation puts the formation energy at -0.510 eV/atom. As for the density of states at the Fermi level: 0.44 states/eV per atom.